A relaxed BePHCl2 crystal, computed with GGA-PBE.

extended XYZ file:
```
5
Lattice="-3.899 2.135 1.444 -2.260 -4.091 -0.053 1.122 -0.672 4.025" Properties=species:S:1:pos:R:3 pbc="T T T"
P 0.561 -0.336 2.012
Be 0.000 0.000 0.000
H -2.519 -1.314 2.708
Cl -1.130 -2.046 -0.026
Cl -1.950 1.068 0.722
```

Output
excess energy over the best structure of this formula in the dataset	0.0000	eV per atom
density	2.01	Mg/m³
DFT total energy	-13.46	eV/cell